No. 1
MgCuIrW: optimized geometry, PBE.

Cell lengths 4.3581, 4.3581, 4.3581 Å; angles 60.00, 60.00, 60.00 degrees
Closest atoms and distances in Å follow each position.
Fractional coordinates of all 4 atoms:
Mg 0.0000 0.0000 0.0000  4 W 2.67, 4 Cu 2.67
Cu 0.7500 0.7500 0.7500  4 Ir 2.67, 4 Mg 2.67
Ir 0.5000 0.5000 0.5000  4 W 2.67, 4 Cu 2.67
W 0.2500 0.2500 0.2500  4 Mg 2.67, 4 Ir 2.67

Properties
The total DFT energy (no corrections) comes out at -26.92 eV for the cell shown.

No. 2
MgCuIrW: optimized geometry, PBE.

Cell lengths 4.3416, 4.3416, 4.3416 Å; angles 60.00, 60.00, 60.00 degrees
Closest atoms and distances in Å follow each position.
Fractional coordinates of all 4 atoms:
Mg 0.0000 0.0000 0.0000  4 Ir 2.66, 4 W 2.66
Cu 0.5000 0.5000 0.5000  4 Ir 2.66, 4 W 2.66
Ir 0.7500 0.7500 0.7500  4 Mg 2.66, 4 Cu 2.66
W 0.2500 0.2500 0.2500  4 Mg 2.66, 4 Cu 2.66

Properties
The total DFT energy (no corrections) comes out at -25.25 eV for the cell shown.

No. 3
MgCuIrW: optimized geometry, PBE.

Cell lengths 4.3735, 4.3735, 4.3735 Å; angles 60.00, 60.00, 60.00 degrees
Closest atoms and distances in Å follow each position.
Fractional coordinates of all 4 atoms:
Mg 0.0000 0.0000 0.0000  4 Cu 2.68, 4 Ir 2.68
Cu 0.7500 0.7500 0.7500  4 W 2.68, 4 Mg 2.68
Ir 0.2500 0.2500 0.2500  4 W 2.68, 4 Mg 2.68
W 0.5000 0.5000 0.5000  4 Cu 2.68, 4 Ir 2.68

Properties
The total DFT energy (no corrections) comes out at -27.19 eV for the cell shown.

No. 4
CuMoIrPb: optimized geometry, PBE.

Cell lengths 4.5518, 4.5518, 4.5518 Å; angles 60.00, 60.00, 60.00 degrees
Closest atoms and distances in Å follow each position.
Fractional coordinates of all 4 atoms:
Cu 0.0000 0.0000 0.0000  4 Ir 2.79, 4 Pb 2.79
Mo 0.5000 0.5000 0.5000  4 Pb 2.79, 4 Ir 2.79
Ir 0.2500 0.2500 0.2500  4 Mo 2.79, 4 Cu 2.79
Pb 0.7500 0.7500 0.7500  4 Mo 2.79, 4 Cu 2.79

Properties
The total DFT energy (no corrections) comes out at -25.02 eV for the cell shown.

Energy above the lowest structure with this stoichiometry
In order: 0.0677 0.4870 0.0000 0.0000
Unit: eV per atom